Zn3Ag6Au | Alexandria via LeMat-Bulk | GGA-PBE | optimized geometry; formation enthalpy at 0 K = 0.2 eV/f.u.; volume = 17.518 Å³/atom; final energy = -2.41 eV per atom
1.0
5.088 -6.087 0.000
5.088 6.087 0.000
0.000 0.000 5.657
Zn Ag Au
6 12 2
direct
0.000 0.000 0.000
0.000 0.000 0.500
0.247 0.509 0.529
0.491 0.753 0.529
0.509 0.247 0.029
0.753 0.491 0.029
0.071 0.475 0.962
0.189 0.811 0.751
0.211 0.239 0.251
0.239 0.211 0.751
0.433 0.567 0.997
0.475 0.071 0.462
0.525 0.929 0.962
0.567 0.433 0.497
0.761 0.789 0.251
0.789 0.761 0.751
0.811 0.189 0.251
0.929 0.525 0.462
0.208 0.792 0.249
0.792 0.208 0.749

NiAg2Pt | Alexandria via LeMat-Bulk | GGA-PBE | optimized geometry; formation enthalpy at 0 K = 0.6 eV/f.u.; volume = 15.829 Å³/atom; final energy = -4.23 eV per atom
1.0
-1.426 2.365 4.692
1.426 -2.365 4.692
1.426 2.365 -4.692
Ni Ag Pt
1 2 1
direct
0.000 0.000 0.000
0.486 0.486 0.000
0.758 0.258 0.500
0.220 0.720 0.500